! YHgHPt2 | the Alexandria database | PBE-GGA | relaxed; values from VASP
&SYSTEM
  ibrav = 0, nat = 5, ntyp = 4
/
ATOMIC_SPECIES
Y 88.91 Y.upf
H 1.01 H.upf
Hg 200.59 Hg.upf
Pt 195.08 Pt.upf
ATOMIC_POSITIONS crystal
Y 0.000 0.000 0.000
H 0.500 0.500 0.500
Hg 0.000 0.500 0.000
Pt 0.000 0.000 0.500
Pt 0.500 0.000 0.000
CELL_PARAMETERS angstrom
5.199 0.000 0.000
0.000 6.344 0.000
0.000 0.000 5.199
! * energy above the lowest structure with this stoichiometry: 1400 meV per atom
! * DOS at the Fermi energy: 0.5403 states/eV/atom
! * total magnetic moment: 0.95 μB/cell

=====

! Na2CaRh3O8 | the Alexandria database | PBE-GGA | relaxed; values from VASP
&SYSTEM
  ibrav = 0, nat = 14, ntyp = 4
/
ATOMIC_SPECIES
Na 22.99 Na.upf
Ca 40.08 Ca.upf
Rh 102.91 Rh.upf
O 16.00 O.upf
ATOMIC_POSITIONS crystal
Na 0.123 0.123 0.631
Na 0.499 0.499 0.504
Ca 0.880 0.880 0.361
Rh 0.499 0.002 0.999
Rh 0.002 0.499 0.999
Rh 0.499 0.499 0.999
O 0.269 0.269 0.194
O 0.733 0.733 0.801
O 0.245 0.245 0.817
O 0.694 0.245 0.817
O 0.245 0.694 0.817
O 0.750 0.305 0.194
O 0.305 0.750 0.194
O 0.750 0.750 0.194
CELL_PARAMETERS angstrom
6.312 0.000 0.000
3.156 5.466 0.000
3.156 1.822 5.346
! * DOS at the Fermi energy: 0.9628 states/eV/atom
! * formation energy from raw total energies: -1.2521 eV per atom
! * total magnetic moment: 0.79 μB/cell

=====

! Si3SF | the Alexandria database | PBE-GGA | relaxed; values from VASP
&SYSTEM
  ibrav = 0, nat = 5, ntyp = 3
/
ATOMIC_SPECIES
S 32.06 S.upf
Si 28.09 Si.upf
F 19.00 F.upf
ATOMIC_POSITIONS crystal
S 0.500 0.500 0.500
Si 0.000 0.500 0.000
Si 0.000 0.000 0.500
Si 0.500 0.000 0.000
F 0.000 0.000 0.000
CELL_PARAMETERS angstrom
4.481 0.000 0.000
0.000 4.481 0.000
0.000 0.000 4.481
! * energy above the lowest structure with this stoichiometry: 0 meV per atom
! * DOS at the Fermi energy: 0.9452 states/eV/atom
! * formation energy from raw total energies: 0.7084 eV per atom
! * total magnetic moment: 0.00 μB/cell

=====

! TbY2Ho8 | the Alexandria database | PBE-GGA | relaxed; values from VASP
&SYSTEM
  ibrav = 0, nat = 11, ntyp = 3
/
ATOMIC_SPECIES
Tb 158.93 Tb.upf
Y 88.91 Y.upf
Ho 164.93 Ho.upf
ATOMIC_POSITIONS crystal
Tb 0.000 0.000 0.000
Y 0.601 0.797 0.797
Y 0.399 0.203 0.203
Ho 0.228 0.351 0.826
Ho 0.772 0.174 0.649
Ho 0.174 0.755 0.755
Ho 0.826 0.245 0.245
Ho 0.228 0.826 0.351
Ho 0.772 0.649 0.174
Ho 0.727 0.588 0.588
Ho 0.273 0.412 0.412
CELL_PARAMETERS angstrom
-4.112 3.837 -3.464
-10.024 -1.427 0.545
-8.380 3.738 4.315
! * energy above the lowest structure with this stoichiometry: 13 meV per atom
! * DOS at the Fermi energy: 1.6204 states/eV/atom
! * total magnetic moment: 0.00 μB/cell

=====

> DOS at the Fermi energy of number 1 (YHgHPt2)?

0.5403 states/eV/atom

=====

> Which formula does entry 3 have?

Si3SF

=====

> total magnetic moment of number 2 (Na2CaRh3O8)?

0.79 μB/cell

=====

> Which formula does entry 4 have?

TbY2Ho8